# CoBiO3 PBE with a Hubbard U optimized geometry
# * size of the total moment: 0.000 μB per cell
# * uncorrected energy: -5.7216 eV per atom
data_CoBiO3
_cell_length_a 3.744
_cell_length_b 3.744
_cell_length_c 3.922
_cell_angle_alpha 90.00
_cell_angle_beta 90.00
_cell_angle_gamma 90.00
_space_group_name_H-M_alt 'P 4 m m'
_space_group_IT_number 99
_space_group_name_Hall 'P 4 -2'
loop_
_atom_site_label
_atom_site_type_symbol
_atom_site_fract_x
_atom_site_fract_y
_atom_site_fract_z
_atom_site_occupancy
Co1 Co 0.000 0.000 0.000 1
Bi1 Bi 0.500 0.500 0.439 1
O1 O 0.000 0.000 0.525 1
O2 O 0.000 0.500 0.065 1